10
Lattice="5.727 -3.381 0.000 5.727 3.381 0.000 -2.697 0.000 8.520" Properties=species:S:1:pos:R:3 comment="Tb6CeY2Er, relaxed, DFT PBE" space_group=C2/m formation_energy_mev_per_atom=254 pbc="T T T"
Tb 3.296 1.631 1.685
Tb 0.375 0.000 3.577
Tb 5.460 1.631 6.835
Tb 3.296 -1.631 1.685
Tb 8.382 0.000 4.943
Tb 5.460 -1.631 6.835
Ce 0.000 0.000 0.000
Y 2.432 0.000 7.022
Y 6.324 0.000 1.498
Er 4.378 0.000 4.260